Record 1
MgMoAs2: relaxed, PBE.

a b c (Å): 3.454 3.454 5.955
angles (deg): 90.00 90.00 90.00
Space group P4mm (No. 99)
Asymmetric unit:
Mg 0.000 0.000 0.000 [1 per cell]
Mo 0.500 0.500 0.333 [1 per cell]
As 0.000 0.000 0.462 [1 per cell]
As 0.500 0.500 0.788 [1 per cell]

Computed properties:
ΔH_f (0 K) = -0.0177 eV/atom

Record 2
MgMoAs2: relaxed, PBE.

a b c (Å): 2.810 2.810 9.749
angles (deg): 90.00 90.00 90.00
Space group P4mm (No. 99)
Asymmetric unit:
Mg 0.000 0.000 0.000 [1 per cell]
Mo 0.500 0.500 0.230 [1 per cell]
As 0.000 0.000 0.432 [1 per cell]
As 0.500 0.500 0.778 [1 per cell]

Computed properties:
ΔH_f (0 K) = 0.1888 eV/atom

Record 3
MgMoAs2: relaxed, PBE.

a b c (Å): 8.310 3.413 5.348
angles (deg): 90.00 108.72 90.00
Space group C2/m (No. 12)
Asymmetric unit:
Mg 0.000 0.000 0.000 [2 per cell]
Mo 0.000 0.500 0.500 [2 per cell]
As 0.241 0.000 0.703 [4 per cell]

Computed properties:
ΔH_f (0 K) = -0.0567 eV/atom

Which of these has the lowest ΔH_f (0 K)? number 3